Record 1
MgSc2CrIn | GGA-PBE | optimized geometry

Unit cell a=5.3906 b=5.0373 c=5.3906 alpha=90.00 beta=90.00 gamma=90.00
Each line ends with the local moment (μB).
Positions (direct):
Sc  0.0000  0.0000  0.5000  -0.21
Sc  0.5000  0.0000  0.0000  -0.26
Cr  0.0000  0.5000  0.0000  3.70
Mg  0.5000  0.5000  0.5000  -0.02
In  0.0000  0.0000  0.0000  -0.07

Values from the calculation:
* calculated formation energy: 725 meV per atom
* V: 146 Å³ per cell
* E_tot: -23.0 eV for the cell shown
* crystal system: tetragonal

Record 2
Mg2CrInSn | GGA-PBE | optimized geometry

Unit cell a=5.2370 b=5.2353 c=5.2370 alpha=90.00 beta=90.00 gamma=90.00
Each line ends with the local moment (μB).
Positions (direct):
Cr  0.0000  0.0000  0.0000  3.48
Mg  0.0000  0.0000  0.5000  -0.01
Mg  0.5000  0.0000  0.0000  0.01
Sn  0.5000  0.5000  0.5000  -0.14
In  0.0000  0.5000  0.0000  0.00

Values from the calculation:
* calculated formation energy: 600 meV per atom
* V: 144 Å³ per cell
* E_tot: -16.6 eV for the cell shown
* crystal system: tetragonal

Record 3
MgZnCrIn | GGA-PBE | optimized geometry

Unit cell a=4.6826 b=4.6826 c=4.6826 alpha=60.00 beta=60.00 gamma=60.00
Each line ends with the local moment (μB).
Positions (direct):
Cr  0.5000  0.5000  0.5000  3.46
Zn  0.7500  0.7500  0.7500  -0.03
Mg  0.0000  0.0000  0.0000  -0.03
In  0.2500  0.2500  0.2500  -0.06

Values from the calculation:
* calculated formation energy: 135 meV per atom
* V: 73 Å³ per cell
* E_tot: -14.7 eV for the cell shown
* crystal system: cubic

Record 4
MgZnCrIn2 | GGA-PBE | optimized geometry

Unit cell a=4.9268 b=4.7246 c=4.9268 alpha=90.00 beta=90.00 gamma=90.00
Each line ends with the local moment (μB).
Positions (direct):
Cr  0.5000  0.5000  0.5000  0.12
Zn  0.0000  0.0000  0.0000  0.01
Mg  0.0000  0.5000  0.0000  0.01
In  0.0000  0.0000  0.5000  0.00
In  0.5000  0.0000  0.0000  0.01

Values from the calculation:
* calculated formation energy: 1118 meV per atom
* V: 115 Å³ per cell
* E_tot: -12.4 eV for the cell shown
* crystal system: tetragonal

> calculated formation energy of number 1 (MgSc2CrIn)?

725 meV per atom

> Among the records above, which one has the highest V?

MgSc2CrIn

> Among the records above, which one has the highest E_tot?

MgZnCrIn2